Model A:
TlW2 after structural relaxation. Source: the Alexandria database, functional PBE-GGA.

Output
Theoretical density (g/cm3): 16.20

Lattice parameters (Å, degrees): 5.808 5.808 7.252 68.00 68.00 31.36
Element x y z (fractional)
1 W 0.191 0.191 0.918
2 W 0.809 0.809 0.082
3 W 0.507 0.507 0.830
4 W 0.493 0.493 0.170
5 Tl 0.146 0.146 0.433
6 Tl 0.854 0.854 0.567


Model B:
TlW2 after structural relaxation. Source: the Alexandria database, functional PBE-GGA.

Output
Theoretical density (g/cm3): 16.75

Lattice parameters (Å, degrees): 5.574 5.574 6.761 78.61 78.61 33.49
Element x y z (fractional)
1 W 0.945 0.945 0.611
2 W 0.299 0.299 0.887
3 W 0.666 0.666 0.673
4 W 0.591 0.591 0.329
5 Tl 0.017 0.017 0.004
6 Tl 0.316 0.316 0.331


Result of the stability comparison: model B is the least stable of them.


Model A:
TlW2 after structural relaxation. Source: the Alexandria database, functional PBE-GGA.

Output
Theoretical density (g/cm3): 17.60

Lattice parameters (Å, degrees): 2.805 4.490 8.569 90.00 90.00 90.00
Element x y z (fractional)
1 W 0.089 0.000 0.667
2 W 0.589 0.500 0.833
3 W 0.911 0.000 0.333
4 W 0.411 0.500 0.167
5 Tl 0.000 0.000 0.000
6 Tl 0.500 0.500 0.500


Model B:
TlW2 after structural relaxation. Source: the Alexandria database, functional PBE-GGA.

Output
Theoretical density (g/cm3): 14.11

Lattice parameters (Å, degrees): 10.049 10.049 4.405 90.00 90.00 162.38
Element x y z (fractional)
1 W 0.943 0.057 0.250
2 W 0.057 0.943 0.750
3 W 0.443 0.557 0.750
4 W 0.557 0.443 0.250
5 Tl 0.810 0.190 0.750
6 Tl 0.190 0.810 0.250


Result of the stability comparison: model A is the least stable of them.


Model A:
TlW2 after structural relaxation. Source: the Alexandria database, functional PBE-GGA.

Output
Theoretical density (g/cm3): 17.65

Lattice parameters (Å, degrees): 5.086 5.086 5.086 147.75 129.28 61.39
Element x y z (fractional)
1 Tl 0.000 0.000 0.000
2 W 0.670 0.670 0.000
3 W 0.330 0.330 0.000


Model B:
TlW2 after structural relaxation. Source: the Alexandria database, functional PBE-GGA.

Output
Theoretical density (g/cm3): 17.21

Lattice parameters (Å, degrees): 5.433 5.433 5.433 143.96 143.96 51.89
Element x y z (fractional)
1 W 0.314 0.314 0.000
2 W 0.686 0.686 0.000
3 Tl 0.000 0.000 0.000


Result of the stability comparison: model A is the least stable of them.


Model A:
TlW4 after structural relaxation. Source: the Alexandria database, functional PBE-GGA.

Output
Theoretical density (g/cm3): 13.72

Lattice parameters (Å, degrees): 4.845 4.845 4.845 90.00 90.00 90.00
Element x y z (fractional)
1 Tl 0.500 0.500 0.500
2 W 0.500 0.500 0.000
3 W 0.000 0.500 0.500
4 W 0.500 0.000 0.500
5 W 0.000 0.000 0.000


Model B:
TlW4 after structural relaxation. Source: the Alexandria database, functional PBE-GGA.

Output
Theoretical density (g/cm3): 14.44

Lattice parameters (Å, degrees): 5.197 5.197 5.197 109.47 109.47 109.47
Element x y z (fractional)
1 W 0.000 0.500 0.000
2 W 0.500 0.500 0.500
3 W 0.000 0.000 0.500
4 W 0.500 0.000 0.000
5 Tl 0.000 0.000 0.000


Result of the stability comparison: model A is the least stable of them.


Model A:
Tl3W4 after structural relaxation. Source: the Alexandria database, functional PBE-GGA.

Output
Theoretical density (g/cm3): 15.25

Lattice parameters (Å, degrees): 13.955 13.955 13.955 166.56 166.56 19.05
Element x y z (fractional)
1 W 0.429 0.429 0.000
2 W 0.117 0.117 0.000
3 W 0.883 0.883 0.000
4 W 0.571 0.571 0.000
5 Tl 0.303 0.303 0.000
6 Tl 0.000 0.000 0.000
7 Tl 0.697 0.697 0.000


Model B:
Tl3W4 after structural relaxation. Source: the Alexandria database, functional PBE-GGA.

Output
Theoretical density (g/cm3): 16.68

Lattice parameters (Å, degrees): 5.514 5.514 5.098 90.00 90.00 120.00
Element x y z (fractional)
1 Tl 0.000 0.500 0.000
2 Tl 0.500 0.000 0.000
3 Tl 0.500 0.500 0.000
4 W 0.000 0.000 0.740
5 W 0.333 0.667 0.500
6 W 0.000 0.000 0.260
7 W 0.667 0.333 0.500


Result of the stability comparison: model B is the least stable of them.


Model A:
YTlW2 after structural relaxation. Source: the Alexandria database, functional PBE-GGA.

Output
Theoretical density (g/cm3): 13.77

Lattice parameters (Å, degrees): 4.830 4.830 4.830 60.00 60.00 60.00
Element x y z (fractional)
1 Tl 0.500 0.500 0.500
2 W 0.750 0.750 0.750
3 W 0.250 0.250 0.250
4 Y 0.000 0.000 0.000


Model B:
YTlW2 after structural relaxation. Source: the Alexandria database, functional PBE-GGA.

Output
Theoretical density (g/cm3): 13.15

Lattice parameters (Å, degrees): 2.908 4.667 6.151 90.00 90.00 90.00
Element x y z (fractional)
1 W 0.000 0.000 0.962
2 W 0.000 0.000 0.538
3 Y 0.500 0.500 0.250
4 Tl 0.500 0.500 0.750


Model C:
YTlW2 after structural relaxation. Source: the Alexandria database, functional PBE-GGA.

Output
Theoretical density (g/cm3): 12.72

Lattice parameters (Å, degrees): 3.654 3.654 6.461 90.00 90.00 90.00
Element x y z (fractional)
1 W 0.000 0.000 0.558
2 W 0.000 0.000 0.942
3 Tl 0.500 0.500 0.750
4 Y 0.500 0.500 0.250


Model D:
YTlW2 after structural relaxation. Source: the Alexandria database, functional PBE-GGA.

Output
Theoretical density (g/cm3): 13.47

Lattice parameters (Å, degrees): 5.695 5.695 5.695 142.80 132.48 61.84
Element x y z (fractional)
1 Tl 0.250 0.750 0.500
2 W 0.001 0.001 0.000
3 W 0.499 0.499 0.000
4 Y 0.750 0.250 0.500


Result of the stability comparison: model A is the least stable of them.